Version i
Density functional theory data (PBE-GGA) for a relaxed structure of LaTcAu2.

Structure (POSCAR):
```
LaTcAu2
1.0
4.921 0.000 0.000
2.461 4.262 0.000
2.461 1.421 4.018
Au Tc La
2 1 1
direct
0.000 0.000 0.000
0.250 0.250 0.250
0.750 0.750 0.750
0.500 0.500 0.500
```

The value obtained for the mass density is 12.43 g/cm3. The symmetry is No. 216.


Version ii
Density functional theory data (PBE-GGA) for a relaxed structure of LaTcAu2.

Structure (POSCAR):
```
LaTcAu2
1.0
-5.713 7.134 -4.419
-6.553 4.758 -6.122
-7.939 5.292 -3.468
Au La Tc
2 1 1
direct
0.257 0.257 0.257
0.003 0.003 0.003
0.498 0.498 0.498
0.742 0.742 0.742
```

The value obtained for the mass density is 13.07 g/cm3. The symmetry is No. 160.


Least stable: version ii


Version i
Density functional theory data (PBE-GGA) for a relaxed structure of LaTc2Au.

Structure (POSCAR):
```
LaTc2Au
1.0
-0.486 2.559 -1.418
0.978 -2.186 -1.749
-8.588 -2.537 -1.632
La Au Tc
1 1 2
direct
0.500 0.500 0.750
0.500 0.500 0.250
0.000 0.000 0.004
0.000 0.000 0.496
```

The value obtained for the mass density is 12.08 g/cm3. The symmetry is No. 65.


Version ii
Density functional theory data (PBE-GGA) for a relaxed structure of LaTc2Au.

Structure (POSCAR):
```
LaTc2Au
1.0
3.566 0.000 0.000
0.000 3.566 0.000
0.000 0.000 6.588
Au Tc La
1 2 1
direct
0.500 0.500 0.250
0.000 0.000 0.072
0.000 0.000 0.428
0.500 0.500 0.750
```

The value obtained for the mass density is 10.54 g/cm3. The symmetry is No. 123.


Version iii
Density functional theory data (PBE-GGA) for a relaxed structure of LaTc2Au.

Structure (POSCAR):
```
LaTc2Au
1.0
5.331 -0.005 -0.005
1.767 5.029 0.005
-3.187 -3.023 3.020
Tc La Au
2 1 1
direct
0.796 0.296 0.500
0.966 0.966 0.000
0.230 0.730 0.500
0.508 0.508 0.000
```

The value obtained for the mass density is 10.90 g/cm3. The symmetry is No. 44.


Least stable: version i


Version i
Density functional theory data (PBE-GGA) for a relaxed structure of LaTc2Au.

Structure (POSCAR):
```
LaTc2Au
1.0
-2.382 0.541 -3.766
-1.487 -3.855 0.388
-3.188 1.453 2.225
Tc La Au
2 1 1
direct
0.000 0.000 0.000
0.000 0.500 0.500
0.500 0.000 0.500
0.500 0.500 0.000
```

The value obtained for the mass density is 11.42 g/cm3. The symmetry is No. 123.


Version ii
Density functional theory data (PBE-GGA) for a relaxed structure of LaTc2Au.

Structure (POSCAR):
```
LaTc2Au
1.0
-0.056 -3.738 -3.909
4.842 2.372 0.430
0.774 -1.911 1.816
Tc La Au
2 1 1
direct
0.000 0.000 0.000
0.500 0.500 0.000
0.000 0.500 0.500
0.500 0.000 0.500
```

The value obtained for the mass density is 11.83 g/cm3. The symmetry is No. 65.


Least stable: version ii


Version i
Density functional theory data (PBE-GGA) for a relaxed structure of LaTc2Au.

Structure (POSCAR):
```
LaTc2Au
1.0
-0.826 -4.644 0.554
-4.455 -1.643 -0.063
-1.522 -2.596 -3.674
Tc La Au
2 1 1
direct
0.250 0.250 0.250
0.750 0.750 0.750
0.000 0.000 0.000
0.500 0.500 0.500
```

The value obtained for the mass density is 11.66 g/cm3. The symmetry is No. 225.


Version ii
Density functional theory data (PBE-GGA) for a relaxed structure of LaTc2Au.

Structure (POSCAR):
```
LaTc2Au
1.0
5.252 0.030 0.000
1.844 4.917 0.000
-3.548 -2.474 2.979
La Tc Au
1 2 1
direct
0.750 0.250 0.500
0.500 0.500 0.000
0.000 0.000 0.000
0.250 0.750 0.500
```

The value obtained for the mass density is 11.51 g/cm3. The symmetry is No. 139.


Least stable: version i


Version i
Density functional theory data (PBE-GGA) for a relaxed structure of LaTc2Au.

Structure (POSCAR):
```
LaTc2Au
1.0
-2.475 2.945 3.943
-0.923 -2.834 4.633
3.837 1.900 -3.466
La Tc Au
1 2 1
direct
0.250 0.750 0.500
0.501 0.501 0.000
0.999 0.999 0.000
0.750 0.250 0.500
```

The value obtained for the mass density is 11.56 g/cm3. The symmetry is No. 71.


Version ii
Density functional theory data (PBE-GGA) for a relaxed structure of LaTc2Au.

Structure (POSCAR):
```
LaTc2Au
1.0
-5.044 -8.644 2.089
-3.093 -9.743 0.194
-2.391 -9.468 3.029
Au Tc La
1 2 1
direct
0.491 0.491 0.491
0.744 0.744 0.744
0.012 0.012 0.012
0.253 0.253 0.253
```

The value obtained for the mass density is 11.76 g/cm3. The symmetry is No. 160.


Least stable: version i


Version i
Density functional theory data (PBE-GGA) for a relaxed structure of LaTc2Au.

Structure (POSCAR):
```
LaTc2Au
1.0
4.297 -0.006 -0.002
2.154 3.718 -0.002
2.152 1.238 5.593
Tc La Au
2 1 1
direct
0.051 0.051 0.847
0.727 0.727 0.819
0.253 0.253 0.242
0.469 0.469 0.592
```

The value obtained for the mass density is 9.87 g/cm3. The symmetry is No. 160.


Version ii
Density functional theory data (PBE-GGA) for a relaxed structure of LaTc2Au.

Structure (POSCAR):
```
LaTc2Au
1.0
4.785 0.000 0.000
2.392 4.144 0.000
2.392 1.381 3.907
Tc Au La
2 1 1
direct
0.000 0.000 0.000
0.250 0.250 0.250
0.500 0.500 0.500
0.750 0.750 0.750
```

The value obtained for the mass density is 11.40 g/cm3. The symmetry is No. 216.


Least stable: version ii


Version i
Density functional theory data (PBE-GGA) for a relaxed structure of LaTcAu.

Structure (POSCAR):
```
LaTcAu
1.0
5.520 -0.067 -0.012
3.059 4.595 0.012
-4.287 -2.270 2.636
Tc La Au
1 1 1
direct
0.622 0.622 0.000
0.342 0.342 0.000
0.036 0.036 0.000
```

The value obtained for the mass density is 10.69 g/cm3. The symmetry is No. 107.


Version ii
Density functional theory data (PBE-GGA) for a relaxed structure of LaTcAu.

Structure (POSCAR):
```
LaTcAu
1.0
-1.819 -2.093 -1.072
0.714 0.013 2.886
-6.242 4.645 1.524
Tc La Au
1 1 1
direct
0.333 0.667 0.686
0.667 0.333 0.339
0.000 0.000 0.975
```

The value obtained for the mass density is 11.87 g/cm3. The symmetry is No. 156.


Least stable: version ii